No. 1
# TbCePa2N4 GGA-PBE relaxed
data_TbCePa2N4
_chemical_formula_sum 'Tb1 Ce1 Pa2 N4'
_symmetry_space_group_name_H-M 'P 1 2/m 1'
_symmetry_Int_Tables_number 10
_symmetry_space_group_name_Hall '-P 2y'
_cell_length_a 6.066
_cell_length_b 3.523
_cell_length_c 6.122
_cell_angle_alpha 90.00
_cell_angle_beta 109.51
_cell_angle_gamma 90.00
loop_
_atom_site_label
_atom_site_type_symbol
_atom_site_fract_x
_atom_site_fract_y
_atom_site_fract_z
Tb1 Tb 0.000 0.000 0.000
Ce1 Ce 0.000 0.500 0.500
Pa1 Pa 0.500 0.000 0.500
Pa2 Pa 0.500 0.500 0.000
N1 N 0.268 0.500 0.250
N2 N 0.270 0.000 0.763
# Final energy in eV per cell: -75.9
# Formation energy without anion corrections in meV/atom: -1628
# Calculated density in g cm⁻³: 11.00


No. 2
# TbCe4Pa3N8 GGA-PBE relaxed
data_TbCe4Pa3N8
_chemical_formula_sum 'Tb3 Ce12 Pa9 N24'
_symmetry_space_group_name_H-M 'R -3 m'
_symmetry_Int_Tables_number 166
_symmetry_space_group_name_Hall '-R 3 2"'
_cell_length_a 7.0634
_cell_length_b 7.0634
_cell_length_c 17.3714
_cell_angle_alpha 90.00
_cell_angle_beta 90.00
_cell_angle_gamma 120.00
loop_
_atom_site_label
_atom_site_type_symbol
_atom_site_fract_x
_atom_site_fract_y
_atom_site_fract_z
Tb1 Tb 0.0000 0.0000 0.0000
Ce1 Ce 0.0000 0.0000 0.5000
Ce2 Ce 0.0000 0.5000 0.5000
Pa1 Pa 0.0000 0.5000 0.0000
N1 N 0.0000 0.0000 0.2583
N2 N 0.0093 0.5047 0.2574
# Final energy in eV per cell: -447.7
# Formation energy without anion corrections in meV/atom: -1612
# Calculated density in g cm⁻³: 10.12


No. 3
# TbCe3Pa2N6 GGA-PBE relaxed
data_TbCe3Pa2N6
_chemical_formula_sum 'Tb2 Ce6 Pa4 N12'
_symmetry_space_group_name_H-M 'C 1 2/m 1'
_symmetry_Int_Tables_number 12
_symmetry_space_group_name_Hall '-C 2y'
_cell_length_a 6.110
_cell_length_b 10.581
_cell_length_c 6.152
_cell_angle_alpha 90.00
_cell_angle_beta 109.36
_cell_angle_gamma 90.00
loop_
_atom_site_label
_atom_site_type_symbol
_atom_site_fract_x
_atom_site_fract_y
_atom_site_fract_z
Tb1 Tb 0.000 0.000 0.000
Ce1 Ce 0.000 0.165 0.500
Ce2 Ce 0.000 0.500 0.500
Pa1 Pa 0.000 0.333 0.000
N1 N 0.232 0.500 0.228
N2 N 0.248 0.172 0.228
# Final energy in eV per cell: -221.5
# Formation energy without anion corrections in meV/atom: -1613
# Calculated density in g cm⁻³: 9.96


No. 4
# TbCe2PaN4 GGA-PBE relaxed
data_TbCe2PaN4
_chemical_formula_sum 'Tb1 Ce2 Pa1 N4'
_symmetry_space_group_name_H-M 'P 1 2/m 1'
_symmetry_Int_Tables_number 10
_symmetry_space_group_name_Hall '-P 2y'
_cell_length_a 6.083
_cell_length_b 3.537
_cell_length_c 6.155
_cell_angle_alpha 90.00
_cell_angle_beta 109.24
_cell_angle_gamma 90.00
loop_
_atom_site_label
_atom_site_type_symbol
_atom_site_fract_x
_atom_site_fract_y
_atom_site_fract_z
Tb1 Tb 0.000 0.000 0.000
Ce1 Ce 0.000 0.500 0.500
Ce2 Ce 0.500 0.000 0.500
Pa1 Pa 0.500 0.500 0.000
N1 N 0.259 0.500 0.236
N2 N 0.266 0.000 0.771
# Final energy in eV per cell: -72.1
# Formation energy without anion corrections in meV/atom: -1600
# Calculated density in g cm⁻³: 9.65


Question: Which formula does entry 3 have?
Answer: TbCe3Pa2N6


Question: What is the formula in the first record?
Answer: TbCePa2N4


What did the first record say?
# TbCePa2N4 GGA-PBE relaxed
data_TbCePa2N4
_chemical_formula_sum 'Tb1 Ce1 Pa2 N4'
_symmetry_space_group_name_H-M 'P 1 2/m 1'
_symmetry_Int_Tables_number 10
_symmetry_space_group_name_Hall '-P 2y'
_cell_length_a 6.066
_cell_length_b 3.523
_cell_length_c 6.122
_cell_angle_alpha 90.00
_cell_angle_beta 109.51
_cell_angle_gamma 90.00
loop_
_atom_site_label
_atom_site_type_symbol
_atom_site_fract_x
_atom_site_fract_y
_atom_site_fract_z
Tb1 Tb 0.000 0.000 0.000
Ce1 Ce 0.000 0.500 0.500
Pa1 Pa 0.500 0.000 0.500
Pa2 Pa 0.500 0.500 0.000
N1 N 0.268 0.500 0.250
N2 N 0.270 0.000 0.763
# Final energy in eV per cell: -75.9
# Formation energy without anion corrections in meV/atom: -1628
# Calculated density in g cm⁻³: 11.00


Copy entry 4 word for word.
# TbCe2PaN4 GGA-PBE relaxed
data_TbCe2PaN4
_chemical_formula_sum 'Tb1 Ce2 Pa1 N4'
_symmetry_space_group_name_H-M 'P 1 2/m 1'
_symmetry_Int_Tables_number 10
_symmetry_space_group_name_Hall '-P 2y'
_cell_length_a 6.083
_cell_length_b 3.537
_cell_length_c 6.155
_cell_angle_alpha 90.00
_cell_angle_beta 109.24
_cell_angle_gamma 90.00
loop_
_atom_site_label
_atom_site_type_symbol
_atom_site_fract_x
_atom_site_fract_y
_atom_site_fract_z
Tb1 Tb 0.000 0.000 0.000
Ce1 Ce 0.000 0.500 0.500
Ce2 Ce 0.500 0.000 0.500
Pa1 Pa 0.500 0.500 0.000
N1 N 0.259 0.500 0.236
N2 N 0.266 0.000 0.771
# Final energy in eV per cell: -72.1
# Formation energy without anion corrections in meV/atom: -1600
# Calculated density in g cm⁻³: 9.65